Material: CsRb2MoSe4
Method: DFT, PBE
State: optimized geometry

Cell: 7.6249 7.6249 7.6249 Å, 110.76 108.83 108.83°
Last column: magnetic moment on the atom in μB.
Element x y z (fractional)
Rb  0.5000  0.7500  0.2500  0.00
Se  0.9849  0.1807  0.4937  0.01
Rb  0.0000  0.0000  0.0000  0.00
Cs  0.5000  0.2500  0.7500  0.00
Se  0.3130  0.8042  0.8193  0.01
Mo  0.0000  0.5000  0.5000  0.76
Se  0.0151  0.5088  0.1958  0.01
Se  0.6870  0.5063  0.4912  0.01

## Properties
For the size of the total moment, the calculation gives 1.0 μB/cell. The value obtained for the electronic total energy is -34.261 eV per cell. As for the uncorrected formation energy: -647 kJ/mol of formula units. The mass density is 3.48 g/cm3.


Material: InRe2Br
Method: DFT, PBE
State: optimized geometry

Cell: 4.9067 4.9067 4.9067 Å, 128.30 128.30 76.14°
Element x y z (fractional)
Re  0.2500  0.7500  0.5000
Br  0.5000  0.5000  0.0000
In  0.7500  0.2500  0.5000
Re  0.0000  0.0000  0.0000

## Properties
For the size of the total moment, the calculation gives 0.0 μB/cell. The value obtained for the electronic total energy is -24.265 eV per cell. As for the uncorrected formation energy: 487 kJ/mol of formula units. The mass density is 13.32 g/cm3.


Material: La2MnCu
Method: DFT, PBE
State: optimized geometry

Cell: 3.4221 3.4221 8.4380 Å, 90.00 90.00 90.00°
Last column: magnetic moment on the atom in μB.
Element x y z (fractional)
Mn  0.0000  0.0000  0.5642  -3.56
La  0.5000  0.5000  0.3127  0.23
Cu  0.5000  0.5000  0.6914  -0.07
La  0.0000  0.0000  0.9318  -0.04

## Properties
For the size of the total moment, the calculation gives 3.4 μB/cell. The value obtained for the electronic total energy is -22.502 eV per cell. Its energy of formation from the pure elements is 155 meV per atom. The mass density is 6.66 g/cm3.